1.
SrLaTc2 | GGA-PBE | relaxed

Unit cell a=3.293 b=4.055 c=8.415 alpha=90.00 beta=96.63 gamma=90.00
Element x y z (fractional)
Sr  0.000  0.000  0.000
La  0.301  0.500  0.570
Tc  0.480  0.500  0.262
Tc  0.825  0.000  0.353

- DFT formation energy: 328 meV/atom
- E_tot: -6.507 eV/atom
- Magnetization: 0.0 μB per cell
- DOS(E_F): 4.3 states/eV per cell
- Energy relative to the lowest polymorph listed for this composition: 24.2 meV/atom

***

2.
Na3HfMg | GGA-PBE | relaxed

Unit cell a=5.533 b=5.533 c=5.533 alpha=90.00 beta=90.00 gamma=90.00
Element x y z (fractional)
Na  0.000  0.000  0.500
Na  0.000  0.500  0.000
Na  0.500  0.000  0.000
Hf  0.500  0.500  0.500
Mg  0.000  0.000  0.000

- DFT formation energy: 1160 meV/atom
- E_tot: -1.941 eV/atom
- Magnetization: 1.8 μB per cell
- DOS(E_F): 7.8 states/eV per cell
- Energy relative to the lowest polymorph listed for this composition: 0.0 meV/atom

***

3.
PrEuCuPb | GGA-PBE | relaxed

Unit cell a=5.436 b=5.436 c=5.436 alpha=60.00 beta=60.00 gamma=60.00
Element x y z (fractional)
Pr  0.000  0.000  0.000
Eu  0.500  0.500  0.500
Cu  0.750  0.750  0.750
Pb  0.250  0.250  0.250

- DFT formation energy: -313 meV/atom
- E_tot: -6.028 eV/atom
- Magnetization: 7.2 μB per cell
- DOS(E_F): 10.9 states/eV per cell

***

4.
BaTaRh2 | GGA-PBE | relaxed

Unit cell a=5.165 b=5.165 c=3.033 alpha=90.00 beta=90.00 gamma=90.00
Element x y z (fractional)
Ba  0.000  0.000  0.000
Ta  0.500  0.500  0.000
Rh  0.000  0.500  0.500
Rh  0.500  0.000  0.500

- DFT formation energy: 335 meV/atom
- E_tot: -6.784 eV/atom
- Magnetization: 0.0 μB per cell
- DOS(E_F): 4.0 states/eV per cell
- Energy relative to the lowest polymorph listed for this composition: 571.2 meV/atom

***

5.
Ho3Er | GGA-PBE | relaxed

Unit cell a=3.594 b=5.560 c=6.223 alpha=90.00 beta=90.00 gamma=90.00
Element x y z (fractional)
Ho  0.000  0.000  0.000
Ho  0.000  0.500  0.334
Ho  0.500  0.500  0.834
Er  0.500  0.000  0.500

- DFT formation energy: 1 meV/atom
- E_tot: -4.573 eV/atom
- Magnetization: 0.0 μB per cell
- DOS(E_F): 6.1 states/eV per cell
- Energy relative to the lowest polymorph listed for this composition: 0.0 meV/atom

***

6.
LuThSi | GGA-PBE | relaxed

Unit cell a=4.858 b=4.858 c=4.858 alpha=60.00 beta=60.00 gamma=60.00
Element x y z (fractional)
Lu  0.000  0.000  0.000
Th  0.500  0.500  0.500
Si  0.750  0.750  0.750

- Formation energy from raw total energies: -0.303 eV/atom
- E_tot: -6.091 eV/atom
- Magnetization: 0.0 μB per cell
- DOS(E_F): 2.3 states/eV per cell

***

7.
Cr2NiRh | GGA-PBE | relaxed

Unit cell a=2.572 b=2.572 c=7.349 alpha=90.00 beta=90.00 gamma=90.00
Element x y z (fractional)
Cr  0.000  0.000  0.242
Cr  0.000  0.000  0.758
Ni  0.500  0.500  0.000
Rh  0.500  0.500  0.500

- DFT formation energy: 54 meV/atom
- E_tot: -8.041 eV/atom
- Magnetization: 0.0 μB per cell
- DOS(E_F): 5.4 states/eV per cell

***

8.
YSb2PtI | GGA-PBE | relaxed

Unit cell a=5.262 b=5.262 c=5.483 alpha=90.00 beta=90.00 gamma=90.00
Element x y z (fractional)
Y  0.000  0.000  0.000
Sb  0.000  0.500  0.500
Sb  0.500  0.000  0.500
Pt  0.500  0.500  0.500
I  0.500  0.500  0.000

- Formation energy from raw total energies: 0.004 eV/atom
- E_tot: -4.456 eV/atom
- Magnetization: 0.0 μB per cell
- DOS(E_F): 4.8 states/eV per cell
- Energy relative to the lowest polymorph listed for this composition: 0.0 meV/atom